1.
# Zr2FePb

Crystalline Zr2FePb at its relaxed geometry (PBE, Alexandria).

abc: 3.3501 3.3501 7.4805
angles: 90.00 90.00 90.00
Closest atoms and distances in Å follow each position.
Element x y z (fractional)
Zr1 0.0000 0.0000 0.0000  8 Zr 3.15-3.35, 4 Pb 3.29, 1 Fe 3.44
Zr2 0.5000 0.5000 0.2772  4 Fe 2.73
Fe1 0.0000 0.0000 0.4594  4 Zr 2.73, 4 Pb 2.95
Pb1 0.5000 0.5000 0.6954  4 Fe 2.95, 5 Zr 3.13-3.29

Output
- Crystal system: tetragonal

---

2.
# ZrFe2Pb

Crystalline ZrFe2Pb at its relaxed geometry (PBE, Alexandria).

abc: 4.3816 4.3816 3.3392
angles: 90.00 90.00 90.00
Closest atoms and distances in Å follow each position.
Element x y z (fractional)
Zr1 0.0000 0.0000 0.0000  8 Fe 2.75
Fe1 0.0000 0.5000 0.5000  4 Zr 2.75, 4 Pb 2.75
Fe2 0.5000 0.0000 0.5000  4 Zr 2.75, 4 Pb 2.75
Pb1 0.5000 0.5000 0.0000  8 Fe 2.75

Output
- Crystal system: tetragonal

---

3.
# Zr2FePb

Crystalline Zr2FePb at its relaxed geometry (PBE, Alexandria).

abc: 6.1164 6.1164 6.1164
angles: 103.92 103.92 121.25
Closest atoms and distances in Å follow each position.
Element x y z (fractional)
Zr1 0.0627 0.6250 0.9377  2 Fe 2.47
Zr2 0.3750 0.3127 0.4377  2 Fe 2.47
Zr3 0.6873 0.1250 0.0623  2 Fe 2.47
Zr4 0.8750 0.9373 0.5623  2 Fe 2.47
Fe1 0.0000 0.0000 0.0000  4 Zr 2.47
Fe2 0.7500 0.2500 0.5000  4 Zr 2.47
Pb1 0.2500 0.7500 0.5000  2 Fe 3.00, 8 Zr 3.11-3.26
Pb2 0.5000 0.5000 0.0000  2 Fe 3.00, 8 Zr 3.11-3.26

Output
- Crystal system: tetragonal

---

4.
# Zr2Fe2Pb

Crystalline Zr2Fe2Pb at its relaxed geometry (PBE, Alexandria).

abc: 9.0376 9.0376 9.0376
angles: 158.58 158.58 30.47
Closest atoms and distances in Å follow each position.
Element x y z (fractional)
Zr1 0.1281 0.1281 0.0000  4 Fe 2.71
Zr2 0.8719 0.8719 0.0000  4 Fe 2.71
Fe1 0.2500 0.7500 0.5000  4 Fe 2.38
Fe2 0.7500 0.2500 0.5000  4 Fe 2.38
Pb1 0.5000 0.5000 0.0000  8 Zr 3.26, 4 Pb 3.36

Output
- Crystal system: tetragonal

---

| no. | formation energy from the elements (eV per atom) |
| --- | --- |
| 1 | 0.06 |
| 2 | 0.20 |
| 3 | 0.23 |
| 4 | 0.07 |